Entry 1:
NaHgSb2 | PBE | relaxed

Structure (CIF):
```
data_NaHgSb2
_cell_length_a 8.763
_cell_length_b 8.763
_cell_length_c 6.064
_cell_angle_alpha 90.00
_cell_angle_beta 90.00
_cell_angle_gamma 90.00
_space_group_name_H-M_alt 'I -4 2 d'
_space_group_IT_number 122
_space_group_name_Hall 'I -4 2bw'
loop_
_atom_site_label
_atom_site_fract_x
_atom_site_fract_y
_atom_site_fract_z
_atom_site_occupancy
Na1 0.000 0.000 0.000 1
Hg1 0.000 0.000 0.500 1
Sb1 0.197 0.250 0.625 1
```

Output
ΔE_f (raw) = -39 meV/atom

=====

Entry 2:
Tb3Rh2 | PBE | relaxed

Structure (CIF):
```
data_Tb3Rh2
_cell_length_a 11.284
_cell_length_b 11.284
_cell_length_c 25.357
_cell_angle_alpha 90.00
_cell_angle_beta 90.00
_cell_angle_gamma 90.00
_space_group_name_H-M_alt 'I 4/m c m'
_space_group_IT_number 140
_space_group_name_Hall '-I 4 2c'
loop_
_atom_site_label
_atom_site_fract_x
_atom_site_fract_y
_atom_site_fract_z
_atom_site_occupancy
Tb1 0.000 0.500 0.113 1
Tb2 0.000 0.500 0.250 1
Tb3 0.075 0.204 0.071 1
Tb4 0.080 0.210 0.307 1
Tb5 0.149 0.351 0.500 1
Rh1 0.000 0.000 0.000 1
Rh2 0.000 0.000 0.133 1
Rh3 0.000 0.000 0.250 1
Rh4 0.099 0.401 0.000 1
Rh5 0.153 0.347 0.188 1
Rh6 0.179 0.321 0.394 1
```

Output
excess energy over the best structure of this formula in the dataset = 0 meV per atom
formation enthalpy at 0 K = -0.753 eV per atom

=====

Entry 3:
SiBiPt2W | PBE | relaxed

Structure (CIF):
```
data_SiBiPt2W
_cell_length_a 4.884
_cell_length_b 4.884
_cell_length_c 5.313
_cell_angle_alpha 90.00
_cell_angle_beta 90.00
_cell_angle_gamma 90.00
_space_group_name_H-M_alt 'P 4/m m m'
_space_group_IT_number 123
_space_group_name_Hall '-P 4 2'
loop_
_atom_site_label
_atom_site_fract_x
_atom_site_fract_y
_atom_site_fract_z
_atom_site_occupancy
Si1 0.000 0.000 0.000 1
Bi1 0.500 0.500 0.000 1
Pt1 0.000 0.500 0.500 1
W1 0.500 0.500 0.500 1
```

Output
ΔE_f (raw) = 1226 meV/atom

=====

Entry 4:
AsPt3F | PBE | relaxed

Structure (CIF):
```
data_AsPt3F
_cell_length_a 4.662
_cell_length_b 4.662
_cell_length_c 4.662
_cell_angle_alpha 90.00
_cell_angle_beta 90.00
_cell_angle_gamma 90.00
_space_group_name_H-M_alt 'P m -3 m'
_space_group_IT_number 221
_space_group_name_Hall '-P 4 2 3'
loop_
_atom_site_label
_atom_site_fract_x
_atom_site_fract_y
_atom_site_fract_z
_atom_site_occupancy
As1 0.000 0.000 0.000 1
Pt1 0.000 0.000 0.500 1
F1 0.500 0.500 0.500 1
```

Output
excess energy over the best structure of this formula in the dataset = 0 meV per atom
ΔE_f (raw) = 518 meV/atom

=====

Entry 5:
Sr2MgBr | PBE | relaxed

Structure (CIF):
```
data_Sr2MgBr
_cell_length_a 4.034
_cell_length_b 4.034
_cell_length_c 10.448
_cell_angle_alpha 90.00
_cell_angle_beta 90.00
_cell_angle_gamma 90.00
_space_group_name_H-M_alt 'P 4 m m'
_space_group_IT_number 99
_space_group_name_Hall 'P 4 -2'
loop_
_atom_site_label
_atom_site_fract_x
_atom_site_fract_y
_atom_site_fract_z
_atom_site_occupancy
Sr1 0.000 0.000 0.000 1
Sr2 0.500 0.500 0.315 1
Mg1 0.500 0.500 0.788 1
Br1 0.000 0.000 0.457 1
```

Output
excess energy over the best structure of this formula in the dataset = 168 meV per atom
ΔE_f (raw) = -554 meV/atom

=====

Entry 6:
PmNi3 | PBE | relaxed

Structure (CIF):
```
data_PmNi3
_cell_length_a 5.0251
_cell_length_b 5.0251
_cell_length_c 16.4499
_cell_angle_alpha 90.00
_cell_angle_beta 90.00
_cell_angle_gamma 120.00
_space_group_name_H-M_alt 'P 63/m m c'
_space_group_IT_number 194
_space_group_name_Hall '-P 6c 2c'
loop_
_atom_site_label
_atom_site_fract_x
_atom_site_fract_y
_atom_site_fract_z
_atom_site_occupancy
Pm1 0.3333 0.6667 0.0420 1
Pm2 0.3333 0.6667 0.2500 1
Ni1 0.0000 0.0000 0.0000 1
Ni2 0.0000 0.0000 0.2500 1
Ni3 0.1665 0.3331 0.6285 1
Ni4 0.3333 0.6667 0.7500 1
```

Output
formation enthalpy at 0 K = -0.335 eV per atom

=====

It is found that the volume values, taken in the order of the records, are 29.1; 23.1; 25.3; 20.3; 42.5; 15.0 Å³/atom.